<one>
PBE-GGA K5Sc, relaxed; calculated volume = 345.9 Å³/f.u.; size of the total moment = 1.463 Bohr magnetons per cell
1.0
1.985 -12.192 0.000
1.985 12.192 0.000
0.000 0.000 7.145
K Sc
5 1
direct
0.017 0.983 0.000
0.342 0.658 0.000
0.666 0.334 0.000
0.452 0.548 0.500
0.754 0.246 0.500
0.103 0.897 0.500



<two>
PBE-GGA K5Sc, relaxed; calculated volume = 347.2 Å³/f.u.; size of the total moment = 1.673 Bohr magnetons per cell
1.0
4.091 0.000 0.000
0.000 4.091 0.000
0.000 0.000 20.741
K Sc
5 1
direct
0.000 0.000 0.865
0.000 0.000 0.135
0.500 0.500 0.680
0.500 0.500 0.320
0.000 0.000 0.500
0.500 0.500 0.000



Of the structures shown above, <one> is the least stable.